FeIrNF2 (GGA+U, relaxed); magnetic moment = 4.34 μB/f.u.; raw total energy = -5.40 eV per atom; density = 6.74 Mg/m³
1.0
4.4780 0.0000 0.0000
0.0000 4.4780 0.0000
0.0000 0.0000 3.6868
Fe Ir N F
1 1 1 2
Direct
0.0000 0.0000 0.0000
0.5000 0.5000 0.5000
0.5000 0.5000 0.0000
0.0000 0.5000 0.5000
0.5000 0.0000 0.5000